Entry 1:
This record from Alexandria describes a geometry-optimized HfZrPaTi structure. The functional is PBE.

Properties
As for the polymorph energy (0 for the lowest one): 0.0799 eV per atom. The density of states at the Fermi level is 1.929 states/eV per atom. Its formation energy is 0.14 eV per atom.

Cell lengths 7.0349, 7.0349, 7.0349 Å; angles 90.00, 90.00, 90.00 degrees
With the nearest neighbours (Å) after each atom.
Space group F-43m (No. 216)
Unique sites:
Hf 0.0000 0.0000 0.0000 x4  4 Zr 3.05, 4 Pa 3.05
Zr 0.2500 0.2500 0.2500 x4  4 Hf 3.05, 4 Ti 3.05
Pa 0.2500 0.2500 0.7500 x4  4 Hf 3.05, 4 Ti 3.05
Ti 0.0000 0.0000 0.5000 x4  4 Pa 3.05, 4 Zr 3.05

Entry 2:
This record from Alexandria describes a geometry-optimized HfZrPaTi structure. The functional is PBE.

Properties
As for the polymorph energy (0 for the lowest one): 0.0000 eV per atom. The density of states at the Fermi level is 1.487 states/eV per atom. Its formation energy is 0.06 eV per atom.

Cell lengths 5.4503, 3.1445, 10.3190 Å; angles 90.00, 90.01, 90.00 degrees
With the nearest neighbours (Å) after each atom.
Space group Cm (No. 8)
Unique sites:
Hf 0.0000 0.0000 0.0000 x2  3 Ti 2.99, 6 Hf 3.14-3.15, 3 Pa 3.27-3.28
Zr 0.9999 0.0000 0.4667 x2  3 Ti 3.04, 6 Zr 3.14-3.15, 3 Pa 3.31-3.32
Pa 0.1683 0.5000 0.7354 x2  6 Pa 3.14-3.15, 3 Hf 3.27-3.28, 3 Zr 3.31-3.32
Ti 0.1670 0.5000 0.2303 x2  3 Hf 2.99, 3 Zr 3.04, 6 Ti 3.14-3.15

Entry 3:
This record from Alexandria describes a geometry-optimized Hf4PaTl structure. The functional is PBE.

Properties
The density of states at the Fermi level is 1.551 states/eV per atom. Its formation energy is 0.74 eV per atom.

Cell lengths 4.3108, 4.3108, 8.5220 Å; angles 90.00, 90.00, 90.00 degrees
With the nearest neighbours (Å) after each atom.
Space group P4/mmm (No. 123)
Unique sites:
Hf 0.0000 0.5000 0.2463 x4  2 Tl 3.01, 4 Hf 3.05, 2 Pa 3.05
Pa 0.0000 0.0000 0.5000 x1  8 Hf 3.05
Tl 0.5000 0.5000 0.0000 x1  8 Hf 3.01

Entry 4:
This record from Alexandria describes a geometry-optimized HfPa2Tl structure. The functional is PBE.

Properties
As for the polymorph energy (0 for the lowest one): 0.2610 eV per atom. The density of states at the Fermi level is 2.402 states/eV per atom. Its formation energy is 0.36 eV per atom.

Cell lengths 4.0367, 4.0367, 6.3476 Å; angles 90.00, 90.00, 90.00 degrees
With the nearest neighbours (Å) after each atom.
Space group P4/mmm (No. 123)
Unique sites:
Hf 0.0000 0.0000 0.0000 x1  2 Tl 3.17, 8 Pa 3.32
Pa 0.5000 0.5000 0.2668 x2  1 Pa 2.96, 4 Tl 3.22
Tl 0.0000 0.0000 0.5000 x1  2 Hf 3.17, 8 Pa 3.22

Entry 5:
This record from Alexandria describes a geometry-optimized HfPa2Tl structure. The functional is PBE.

Properties
As for the polymorph energy (0 for the lowest one): 0.3141 eV per atom. The density of states at the Fermi level is 2.113 states/eV per atom. Its formation energy is 0.41 eV per atom.

Cell lengths 7.4209, 7.4209, 7.4209 Å; angles 90.00, 90.00, 90.00 degrees
With the nearest neighbours (Å) after each atom.
Space group Fm-3m (No. 225)
Unique sites:
Hf 0.0000 0.0000 0.0000 x4  8 Pa 3.21
Pa 0.2500 0.2500 0.2500 x8  4 Tl 3.21, 4 Hf 3.21
Tl 0.0000 0.0000 0.5000 x4  8 Pa 3.21

Entry 6:
This record from Alexandria describes a geometry-optimized HfPa2Tl structure. The functional is PBE.

Properties
As for the polymorph energy (0 for the lowest one): 0.0000 eV per atom. The density of states at the Fermi level is 1.397 states/eV per atom. Its formation energy is 0.10 eV per atom.

Cell lengths 4.3699, 4.3699, 5.0333 Å; angles 90.00, 90.00, 90.00 degrees
With the nearest neighbours (Å) after each atom.
Space group P4/mmm (No. 123)
Unique sites:
Hf 0.0000 0.0000 0.0000 x1  4 Tl 3.09, 8 Pa 3.33
Pa 0.0000 0.5000 0.5000 x2  4 Pa 3.09, 4 Hf 3.33, 4 Tl 3.33
Tl 0.5000 0.5000 0.0000 x1  4 Hf 3.09, 8 Pa 3.33

Entry 7:
This record from Alexandria describes a geometry-optimized TmHfPa2 structure. The functional is PBE.

Properties
As for the polymorph energy (0 for the lowest one): 0.0690 eV per atom. The density of states at the Fermi level is 1.791 states/eV per atom. Its formation energy is 0.24 eV per atom.

Cell lengths 3.1490, 3.1490, 35.5295 Å; angles 90.00, 90.00, 120.00 degrees
With the nearest neighbours (Å) after each atom.
Space group R-3m (No. 166, hexagonal axes)
Unique sites:
Tm 0.0000 0.0000 0.0000 x3  2 Pa 3.13, 6 Tm 3.15
Hf 0.0000 0.0000 0.5000 x3  6 Hf 3.15, 6 Pa 3.33
Pa 0.0000 0.0000 0.0881 x6  1 Tm 3.13, 6 Pa 3.15, 3 Hf 3.33

Entry 8:
This record from Alexandria describes a geometry-optimized TmHfPa2 structure. The functional is PBE.

Properties
As for the polymorph energy (0 for the lowest one): 0.0000 eV per atom. The density of states at the Fermi level is 2.098 states/eV per atom. Its formation energy is 0.17 eV per atom.

Cell lengths 3.1687, 3.1687, 10.0929 Å; angles 90.00, 90.00, 90.00 degrees
With the nearest neighbours (Å) after each atom.
Space group P4/mmm (No. 123)
Unique sites:
Tm 0.0000 0.0000 0.0000 x1  4 Tm 3.17, 8 Pa 3.46
Hf 0.0000 0.0000 0.5000 x1  4 Hf 3.17, 8 Pa 3.29
Pa 0.5000 0.5000 0.2616 x2  4 Pa 3.17, 4 Hf 3.29, 4 Tm 3.46